Compound: ErIn4GaCo
Source: OQMD
Functional: PBE
Structure: relaxed

Geometry as POSCAR:
```
ErIn4GaCo
1.0
4.495 0.000 0.000
0.000 4.495 0.000
0.000 0.000 7.412
Co In Er Ga
1 4 1 1
direct
0.000 0.000 0.500 Co
0.500 0.000 0.699 In
0.000 0.500 0.699 In
0.000 0.500 0.301 In
0.500 0.000 0.301 In
0.000 0.000 0.000 Er
0.500 0.500 0.000 Ga
```

Calculated values
The value obtained for the size of the total moment is 0.00 μB per formula unit. Its total energy is -3.9054 eV/atom.